Density functional theory data (PBE-GGA) for RbGaCo after structural relaxation.

It has space group F-43m (No. 216), with a = 7.526 Å, b = 7.526 Å, c = 7.526 Å, α = 90.00°, β = 90.00° and γ = 90.00°. The inequivalent atoms are Rb at (0.000, 0.000, 0.000), Ga at (0.250, 0.250, 0.250) and Co at (0.250, 0.250, 0.750).

The crystal system is cubic. The total energy is -2.14 eV/atom. Its total magnetization is 1.410 μB/f.u.

Density functional theory data (PBE-GGA) for Ba2Sn2Pt3 after structural relaxation.

It has space group R3m (No. 160, hexagonal axes), with a = 4.6300 Å, b = 4.6300 Å, c = 32.0586 Å, α = 90.00°, β = 90.00° and γ = 120.00°. The inequivalent atoms are Ba at (0.0000, 0.0000, 0.0000), Ba at (0.0000, 0.0000, 0.4963), Sn at (0.0000, 0.0000, 0.2475), Sn at (0.0000, 0.0000, 0.7471), Pt at (0.0000, 0.0000, 0.3985), Pt at (0.0000, 0.0000, 0.5972) and Pt at (0.0000, 0.0000, 0.8957).

The crystal system is trigonal. The total energy is -4.98 eV/atom. Its total magnetization is 0.325 μB/f.u.

Density functional theory data (PBE-GGA) for GaNi3 after structural relaxation.

It has space group Pm-3m (No. 221), with a = 3.581 Å, b = 3.581 Å, c = 3.581 Å, α = 90.00°, β = 90.00° and γ = 90.00°. The inequivalent atoms are Ga at (0.000, 0.000, 0.000) and Ni at (0.000, 0.500, 0.500).

The crystal system is cubic. The total energy is -5.23 eV/atom. Its total magnetization is 0.777 μB/f.u.

Density functional theory data (PBE-GGA) for LiNiSn2 after structural relaxation.

It has space group F-43m (No. 216), with a = 6.729 Å, b = 6.729 Å, c = 6.729 Å, α = 90.00°, β = 90.00° and γ = 90.00°. The inequivalent atoms are Li at (0.000, 0.000, 0.000), Ni at (0.250, 0.250, 0.250), Sn at (0.000, 0.000, 0.500) and Sn at (0.250, 0.250, 0.750).

The crystal system is cubic. The total energy is -3.78 eV/atom. Its total magnetization is 0.004 μB/f.u.

Density functional theory data (PBE-GGA) for MgZn2In2 after structural relaxation.

It has space group I4/mmm (No. 139), with a = 4.173 Å, b = 4.173 Å, c = 12.575 Å, α = 90.00°, β = 90.00° and γ = 90.00°. The inequivalent atoms are Mg at (0.000, 0.000, 0.000), Zn at (0.000, 0.500, 0.250) and In at (0.000, 0.000, 0.390).

The crystal system is tetragonal. The total energy is -1.80 eV/atom.

Density functional theory data (PBE-GGA) for Rb2InAuBr6 after structural relaxation.

It has space group Fm-3m (No. 225), with a = 11.062 Å, b = 11.062 Å, c = 11.062 Å, α = 90.00°, β = 90.00° and γ = 90.00°. The inequivalent atoms are Rb at (0.250, 0.250, 0.250), In at (0.000, 0.000, 0.000), Au at (0.000, 0.000, 0.500) and Br at (0.000, 0.000, 0.248).

The crystal system is cubic. The total energy is -2.80 eV/atom.

Density functional theory data (PBE-GGA) for HoGeB after structural relaxation.

It has space group Cmcm (No. 63), with a = 5.059 Å, b = 12.429 Å, c = 3.531 Å, α = 90.00°, β = 90.00° and γ = 90.00°. The inequivalent atoms are Ho at (0.000, 0.157, 0.250), Ge at (0.000, 0.401, 0.250) and B at (0.000, 0.310, 0.750).

The crystal system is orthorhombic. The total energy is -5.38 eV/atom. Its total magnetization is 0.010 μB/f.u.

Density functional theory data (PBE-GGA) for Tb2Ta after structural relaxation.

It has space group Fd-3m (No. 227, origin choice 2), with a = 8.490 Å, b = 8.490 Å, c = 8.490 Å, α = 90.00°, β = 90.00° and γ = 90.00°. The inequivalent atoms are Tb at (0.000, 0.000, 0.000) and Ta at (0.125, 0.125, 0.625).

The crystal system is cubic. The total energy is -6.03 eV/atom. Its total magnetization is 0.002 μB/f.u. The formation energy from the elements is 292 kJ/mol of formula units.